w) DFT (PBE-GGA) results for an optimized crystal structure of Tc3BTe.

The structure in CIF format:
```
data_Tc3BTe
_chemical_formula_sum 'Tc3 B1 Te1'
_symmetry_space_group_name_H-M 'P m -3 m'
_symmetry_Int_Tables_number 221
_symmetry_space_group_name_Hall '-P 4 2 3'
_cell_length_a 4.8420
_cell_length_b 4.8420
_cell_length_c 4.8420
_cell_angle_alpha 90.00
_cell_angle_beta 90.00
_cell_angle_gamma 90.00
loop_
_atom_site_label
_atom_site_type_symbol
_atom_site_fract_x
_atom_site_fract_y
_atom_site_fract_z
Tc1 Tc 0.0000 0.0000 0.5000
B1 B 0.5000 0.5000 0.5000
Te1 Te 0.0000 0.0000 0.0000
```

* spin magnetization: 3.31 μB/f.u.
* density: 6.32 g/cm3

x) DFT (PBE-GGA) results for an optimized crystal structure of Tc3BTe.

The structure in CIF format:
```
data_Tc3BTe
_chemical_formula_sum 'Tc3 B1 Te1'
_symmetry_space_group_name_H-M 'P m -3 m'
_symmetry_Int_Tables_number 221
_symmetry_space_group_name_Hall '-P 4 2 3'
_cell_length_a 4.1915
_cell_length_b 4.1915
_cell_length_c 4.1915
_cell_angle_alpha 90.00
_cell_angle_beta 90.00
_cell_angle_gamma 90.00
loop_
_atom_site_label
_atom_site_type_symbol
_atom_site_fract_x
_atom_site_fract_y
_atom_site_fract_z
Tc1 Tc 0.0000 0.0000 0.5000
B1 B 0.0000 0.0000 0.0000
Te1 Te 0.5000 0.5000 0.5000
```

* spin magnetization: 1.28 μB/f.u.
* density: 9.75 g/cm3

Which structure is the most stable? The one labeled x).